ErIn3Pd6, relaxed, DFT PBE; total magnetization = 0.0 Bohr magnetons per cell; energy of formation from the pure elements = -599 kJ/mol of formula units; mass density = 10.67 g/cm³
1.0
4.438 0.000 0.000
0.000 8.250 -1.976
0.000 0.617 9.631
Pd In Er
12 6 2
Direct
0.250 0.839 0.288
0.250 0.064 0.915
0.250 0.451 0.099
0.250 0.256 0.518
0.750 0.849 0.783
0.750 0.161 0.712
0.250 0.629 0.693
0.750 0.549 0.901
0.750 0.936 0.085
0.750 0.371 0.307
0.750 0.744 0.482
0.250 0.151 0.217
0.250 0.348 0.811
0.750 0.241 0.025
0.250 0.759 0.975
0.750 0.652 0.189
0.750 0.453 0.604
0.250 0.547 0.396
0.750 0.061 0.378
0.250 0.939 0.622